Record 1
A relaxed Pr12SmY6 crystal. Source: Alexandria, functional GGA-PBE.

Computed properties:
D(E_F): 2.000 states/eV per atom
total magnetic moment: 0.00 μB/f.u.
ρ: 5.7 g/cm³
DFT formation energy: 0.18 eV per atom
total DFT energy (no corrections): -0.3767 Ry/atom
symmetry: R-3m
excess energy over the best structure of this formula in the dataset: 0.058 eV per atom

Lattice parameters (Å, degrees): 8.960 8.960 8.960 99.49 99.49 99.49
Fractional positions:
Pr1 0.649 0.649 0.920
Y1 0.099 0.665 0.099
Y2 0.665 0.099 0.099
Pr2 0.757 0.243 0.500
Y3 0.099 0.099 0.665
Pr3 0.500 0.243 0.757
Pr4 0.243 0.500 0.757
Pr5 0.080 0.351 0.351
Pr6 0.920 0.649 0.649
Y4 0.901 0.335 0.901
Pr7 0.243 0.757 0.500
Pr8 0.500 0.757 0.243
Y5 0.901 0.901 0.335
Y6 0.335 0.901 0.901
Pr9 0.757 0.500 0.243
Pr10 0.351 0.080 0.351
Pr11 0.351 0.351 0.080
Pr12 0.649 0.920 0.649
Sm1 0.000 0.000 0.000


Record 2
A relaxed Pr2Sm12Y7 crystal. Source: Alexandria, functional GGA-PBE.

Computed properties:
D(E_F): 1.686 states/eV per atom
total magnetic moment: 0.00 μB/f.u.
ρ: 6.4 g/cm³
DFT formation energy: 0.04 eV per atom
total DFT energy (no corrections): -0.3870 Ry/atom
symmetry: P-6

Lattice parameters (Å, degrees): 3.567 15.135 15.135 120.00 90.00 90.00
Fractional positions:
Y1 0.000 0.187 0.236
Sm1 0.500 0.568 0.728
Sm2 0.000 0.254 0.048
Sm3 0.500 0.160 0.432
Y2 0.000 0.764 0.951
Y3 0.000 0.333 0.667
Y4 0.000 0.049 0.813
Sm4 0.000 0.793 0.746
Y5 0.500 0.619 0.520
Sm5 0.000 0.518 0.917
Pr1 0.000 0.667 0.333
Sm6 0.500 0.411 0.281
Sm7 0.500 0.719 0.129
Y6 0.500 0.900 0.381
Sm8 0.000 0.400 0.482
Sm9 0.500 0.272 0.840
Pr2 0.500 0.000 0.000
Sm10 0.000 0.952 0.207
Sm11 0.500 0.871 0.589
Sm12 0.000 0.083 0.600
Y7 0.500 0.480 0.100


Record 3
A relaxed Pr3Sm3Y2 crystal. Source: Alexandria, functional GGA-PBE.

Computed properties:
D(E_F): 1.733 states/eV per atom
total magnetic moment: 0.00 μB/f.u.
ρ: 6.3 g/cm³
DFT formation energy: 0.03 eV per atom
total DFT energy (no corrections): -0.3786 Ry/atom
symmetry: P2_1/m
excess energy over the best structure of this formula in the dataset: 0.000 eV per atom

Lattice parameters (Å, degrees): 6.382 5.874 14.813 90.00 90.00 90.00
Fractional positions:
Pr1 0.332 0.750 0.000
Y1 0.161 0.250 0.125
Y2 0.839 0.750 0.625
Pr2 0.668 0.250 0.000
Pr3 0.332 0.750 0.500
Pr4 0.668 0.250 0.500
Sm1 0.171 0.250 0.874
Sm2 0.171 0.250 0.626
Y3 0.161 0.250 0.375
Sm3 0.661 0.250 0.250
Sm4 0.339 0.750 0.750
Sm5 0.829 0.750 0.126
Pr5 0.673 0.251 0.750
Y4 0.839 0.750 0.875
Sm6 0.829 0.750 0.374
Pr6 0.327 0.749 0.250


Record 4
A relaxed Pr2SmY8 crystal. Source: Alexandria, functional GGA-PBE.

Computed properties:
D(E_F): 1.512 states/eV per atom
total magnetic moment: 0.00 μB/f.u.
ρ: 5.1 g/cm³
DFT formation energy: 0.15 eV per atom
total DFT energy (no corrections): -0.4296 Ry/atom
symmetry: C2/m

Lattice parameters (Å, degrees): 5.961 9.111 9.246 60.48 74.93 58.16
Fractional positions:
Y1 0.165 0.901 0.770
Y2 0.165 0.672 0.230
Y3 0.835 0.328 0.770
Y4 0.703 0.577 0.000
Sm1 0.500 0.000 0.000
Y5 0.500 0.791 0.419
Y6 0.297 0.423 0.000
Pr1 0.000 0.305 0.389
Y7 0.500 0.209 0.581
Pr2 0.000 0.695 0.611
Y8 0.835 0.099 0.230


Record 5
A relaxed Pr12Sm2Y7 crystal. Source: Alexandria, functional GGA-PBE.

Computed properties:
D(E_F): 1.653 states/eV per atom
total magnetic moment: 0.00 μB/f.u.
ρ: 5.9 g/cm³
DFT formation energy: 0.04 eV per atom
total DFT energy (no corrections): -0.3889 Ry/atom
symmetry: P-6

Lattice parameters (Å, degrees): 3.603 15.305 15.305 120.00 90.00 90.00
Fractional positions:
Pr1 0.000 0.402 0.484
Pr2 0.000 0.250 0.046
Pr3 0.500 0.570 0.730
Y1 0.000 0.188 0.235
Pr4 0.500 0.414 0.282
Y2 0.000 0.046 0.812
Pr5 0.000 0.954 0.205
Sm1 0.000 0.667 0.333
Pr6 0.000 0.795 0.750
Pr7 0.500 0.718 0.132
Pr8 0.000 0.082 0.598
Pr9 0.500 0.868 0.586
Y3 0.500 0.479 0.101
Y4 0.000 0.333 0.667
Pr10 0.000 0.516 0.918
Sm2 0.500 0.000 0.000
Pr11 0.500 0.270 0.840
Y5 0.500 0.899 0.379
Y6 0.000 0.765 0.954
Y7 0.500 0.621 0.521
Pr12 0.500 0.160 0.430


Record 6
A relaxed PrSm2Y2 crystal. Source: Alexandria, functional GGA-PBE.

Computed properties:
D(E_F): 1.516 states/eV per atom
total magnetic moment: 0.00 μB/f.u.
ρ: 6.1 g/cm³
DFT formation energy: 0.05 eV per atom
total DFT energy (no corrections): -0.3952 Ry/atom
symmetry: Cmc2_1
excess energy over the best structure of this formula in the dataset: 0.000 eV per atom

Lattice parameters (Å, degrees): 5.564 7.125 8.980 90.00 108.05 90.00
Fractional positions:
Sm1 0.390 0.576 0.781
Pr1 0.392 0.078 0.784
Pr2 0.608 0.578 0.216
Sm2 0.610 0.076 0.219
Sm3 0.802 0.826 0.604
Sm4 0.198 0.326 0.396
Y1 0.000 0.828 0.000
Y2 0.801 0.326 0.602
Y3 0.000 0.328 0.000
Y4 0.199 0.826 0.398